*w*
Density functional theory data (PBE) for AlBi2As after structural relaxation.

Values from the calculation:
Magnetic moment   0.0 Bohr magnetons per cell
N(E_F)   2.81 states/eV/f.u.
V   25.25 A^3/atom

Geometry as CIF:
```
data_AlBi2As
_cell_length_a 7.3921
_cell_length_b 7.3921
_cell_length_c 7.3921
_cell_angle_alpha 90.00
_cell_angle_beta 90.00
_cell_angle_gamma 90.00
_space_group_name_H-M_alt 'P 1'
_space_group_IT_number 1
_space_group_name_Hall 'P 1'
loop_
_atom_site_label
_atom_site_type_symbol
_atom_site_fract_x
_atom_site_fract_y
_atom_site_fract_z
Al1 Al 0.0000 0.0000 0.0000
Al2 Al 0.0000 0.5000 0.5000
Al3 Al 0.5000 0.0000 0.5000
Al4 Al 0.5000 0.5000 0.0000
Bi1 Bi 0.2500 0.2500 0.2500
Bi2 Bi 0.2500 0.2500 0.7500
Bi3 Bi 0.2500 0.7500 0.2500
Bi4 Bi 0.2500 0.7500 0.7500
Bi5 Bi 0.7500 0.2500 0.2500
Bi6 Bi 0.7500 0.2500 0.7500
Bi7 Bi 0.7500 0.7500 0.2500
Bi8 Bi 0.7500 0.7500 0.7500
As1 As 0.0000 0.0000 0.5000
As2 As 0.0000 0.5000 0.0000
As3 As 0.5000 0.0000 0.0000
As4 As 0.5000 0.5000 0.5000
```

---

*x*
Density functional theory data (PBE) for AlBi2As after structural relaxation.

Values from the calculation:
Magnetic moment   0.0 Bohr magnetons per cell
N(E_F)   1.14 states/eV/f.u.
V   36.00 A^3/atom

Geometry as CIF:
```
data_AlBi2As
_cell_length_a 6.4620
_cell_length_b 6.4620
_cell_length_c 13.7954
_cell_angle_alpha 90.00
_cell_angle_beta 90.00
_cell_angle_gamma 90.00
_space_group_name_H-M_alt 'P 1'
_space_group_IT_number 1
_space_group_name_Hall 'P 1'
loop_
_atom_site_label
_atom_site_type_symbol
_atom_site_fract_x
_atom_site_fract_y
_atom_site_fract_z
Al1 Al 0.0000 0.0000 0.0000
Al2 Al 0.0000 0.5000 0.2500
Al3 Al 0.5000 0.0000 0.7500
Al4 Al 0.5000 0.5000 0.5000
Bi1 Bi 0.2409 0.2500 0.1250
Bi2 Bi 0.2500 0.7409 0.3750
Bi3 Bi 0.2500 0.7591 0.8750
Bi4 Bi 0.2591 0.2500 0.6250
Bi5 Bi 0.7409 0.7500 0.6250
Bi6 Bi 0.7500 0.2409 0.8750
Bi7 Bi 0.7500 0.2591 0.3750
Bi8 Bi 0.7591 0.7500 0.1250
As1 As 0.0000 0.0000 0.5000
As2 As 0.0000 0.5000 0.7500
As3 As 0.5000 0.0000 0.2500
As4 As 0.5000 0.5000 0.0000
```

---

What should be chosen as the least stable of them? Choose *w*.